Version 1
First-principles (PBE) data for a relaxed structure of GaNi3Cl, as listed in Alexandria via LeMat-Bulk.

Cell: 4.4574 4.4574 4.4574 Å, 90.00 90.00 90.00°
Last column: nearest neighbours and their distance in Å.
Space group Pm-3m (No. 221)
Inequivalent atoms, fractional coordinates:
Ga  0.0000  0.0000  0.0000 x1  6 Ni 2.23
Ni  0.0000  0.0000  0.5000 x3  2 Ga 2.23
Cl  0.5000  0.5000  0.5000 x1  12 Ni 3.15

Output
- total magnetization (μB per cell) = 0.49

***

Version 2
First-principles (PBE) data for a relaxed structure of GaNi3Cl, as listed in Alexandria via LeMat-Bulk.

Cell: 4.2044 4.2044 4.2044 Å, 90.00 90.00 90.00°
Last column: nearest neighbours and their distance in Å.
Space group Pm-3m (No. 221)
Inequivalent atoms, fractional coordinates:
Ga  0.0000  0.0000  0.0000 x1  12 Ni 2.97
Ni  0.0000  0.5000  0.5000 x3  2 Cl 2.10
Cl  0.5000  0.5000  0.5000 x1  6 Ni 2.10

Output
- total magnetization (μB per cell) = 0.00

***

Of them, version 2 has the highest stability.

***

Version 1
First-principles (PBE) data for a relaxed structure of GaNiSCl2, as listed in Alexandria via LeMat-Bulk.

Cell: 4.8831 4.8831 4.3784 Å, 90.00 90.00 90.00°
Last column: nearest neighbours and their distance in Å.
Space group P4/mmm (No. 123)
Inequivalent atoms, fractional coordinates:
Ga  0.0000  0.0000  0.0000 x1  8 Cl 3.28, 4 S 3.45
Ni  0.5000  0.5000  0.5000 x1  2 S 2.19, 4 Cl 2.44
S  0.5000  0.5000  0.0000 x1  2 Ni 2.19
Cl  0.0000  0.5000  0.5000 x2  2 Ni 2.44

Output
- total magnetization (μB per cell) = 1.38

***

Version 2
First-principles (PBE) data for a relaxed structure of GaNiSCl2, as listed in Alexandria via LeMat-Bulk.

Cell: 4.7409 4.7409 4.8545 Å, 90.00 90.00 90.00°
Last column: nearest neighbours and their distance in Å.
Space group P4/mmm (No. 123)
Inequivalent atoms, fractional coordinates:
Ga  0.0000  0.0000  0.0000 x1  4 Cl 2.37, 2 S 2.43
Ni  0.5000  0.5000  0.5000 x1  4 S 3.35, 8 Cl 3.39
S  0.0000  0.0000  0.5000 x1  2 Ga 2.43
Cl  0.0000  0.5000  0.0000 x2  2 Ga 2.37

Output
- total magnetization (μB per cell) = 1.30

***

Of them, version 1 has the highest stability.

***

Version 1
First-principles (PBE) data for a relaxed structure of GaClO2, as listed in Alexandria via LeMat-Bulk.

Cell: 5.4251 5.4251 8.5628 Å, 90.00 90.00 90.00°
Last column: nearest neighbours and their distance in Å.
Space group I-42d (No. 122)
Inequivalent atoms, fractional coordinates:
Ga  0.0000  0.0000  0.0000 x4  4 O 1.86
Cl  0.0000  0.0000  0.5000 x4  4 O 2.66
O  0.1271  0.2500  0.1250 x8  2 Ga 1.86

Output
- total magnetization (μB per cell) = 8.00

***

Version 2
First-principles (PBE) data for a relaxed structure of GaClO2, as listed in Alexandria via LeMat-Bulk.

Cell: 5.7387 5.7387 5.7387 Å, 90.00 90.00 90.00°
Last column: nearest neighbours and their distance in Å.
Space group Fm-3m (No. 225)
Inequivalent atoms, fractional coordinates:
Ga  0.0000  0.0000  0.0000 x4  8 O 2.48
Cl  0.0000  0.0000  0.5000 x4  8 O 2.48
O  0.2500  0.2500  0.2500 x8  4 Cl 2.48, 4 Ga 2.48

Output
- total magnetization (μB per cell) = 8.04

***

Of them, version 1 has the highest stability.